(1)
Material: Ba5Ca2
Method: DFT, PBE-GGA
State: relaxed

Polymorph energy (0 for the lowest one) ... 0.023 eV per atom
Total DFT energy (no corrections) ... -1.9078 eV per atom
D(E_F) ... 11.7 states/eV/f.u.

a b c (Å): 19.114 7.504 11.084
angles (deg): 90.00 92.43 90.00
Space group C2/c (No. 15)
Asymmetric unit:
Ba1 0.000 0.172 0.250 x4
Ba2 0.136 0.163 0.964 x8
Ba3 0.214 0.344 0.323 x8
Ca1 0.068 0.337 0.608 x8

=====

(2)
Material: YInSeBr2
Method: DFT, PBE-GGA
State: relaxed

E_form (uncorrected) ... -1.227 eV per atom
Polymorph energy (0 for the lowest one) ... 0.000 eV per atom
Total DFT energy (no corrections) ... -4.4337 eV per atom
D(E_F) ... 0.0 states/eV/f.u.

a b c (Å): 5.627 5.627 5.506
angles (deg): 90.00 90.00 90.00
Space group P4/mmm (No. 123)
Asymmetric unit:
Y1 0.000 0.000 0.000 x1
In1 0.500 0.500 0.500 x1
Se1 0.000 0.000 0.500 x1
Br1 0.000 0.500 0.000 x2

=====

(3)
Material: AlZnPb2
Method: DFT, PBE-GGA
State: relaxed

Total DFT energy (no corrections) ... -2.8756 eV per atom
D(E_F) ... 1.2 states/eV/f.u.

a b c (Å): 9.001 3.449 6.619
angles (deg): 90.00 99.07 90.00
Space group C2/m (No. 12)
Asymmetric unit:
Al1 0.000 0.000 0.000 x2
Zn1 0.000 0.500 0.500 x2
Pb1 0.249 0.000 0.747 x4

=====

(4)
Material: Dy2ThPaP4
Method: DFT, PBE-GGA
State: relaxed

Total DFT energy (no corrections) ... -7.4852 eV per atom
D(E_F) ... 5.4 states/eV/f.u.

a b c (Å): 6.953 4.037 6.992
angles (deg): 90.00 109.53 90.00
Space group P2/m (No. 10)
Asymmetric unit:
Dy1 0.000 0.000 0.000 x1
Dy2 0.000 0.500 0.500 x1
Th1 0.500 0.000 0.500 x1
Pa1 0.500 0.500 0.000 x1
P1 0.247 0.500 0.241 x2
P2 0.250 0.000 0.757 x2

=====

(5)
Material: BaHf3Si
Method: DFT, PBE-GGA
State: relaxed

E_form (uncorrected) ... 2.310 eV per atom
Polymorph energy (0 for the lowest one) ... 1.865 eV per atom
Total DFT energy (no corrections) ... -5.1317 eV per atom
D(E_F) ... 8.2 states/eV/f.u.

a b c (Å): 5.245 5.245 5.245
angles (deg): 90.00 90.00 90.00
Space group Pm-3m (No. 221)
Asymmetric unit:
Ba1 0.000 0.000 0.000 x1
Hf1 0.000 0.000 0.500 x3
Si1 0.500 0.500 0.500 x1

=====

(6)
Material: Nb3AsBr
Method: DFT, PBE-GGA
State: relaxed

E_form (uncorrected) ... 0.931 eV per atom
Polymorph energy (0 for the lowest one) ... 0.000 eV per atom
Total DFT energy (no corrections) ... -6.3753 eV per atom
D(E_F) ... 3.6 states/eV/f.u.

a b c (Å): 4.850 4.850 4.850
angles (deg): 90.00 90.00 90.00
Space group Pm-3m (No. 221)
Asymmetric unit:
Nb1 0.000 0.000 0.500 x3
As1 0.000 0.000 0.000 x1
Br1 0.500 0.500 0.500 x1

=====

Please write out number 6 again, unchanged.
Material: Nb3AsBr
Method: DFT, PBE-GGA
State: relaxed

E_form (uncorrected) ... 0.931 eV per atom
Polymorph energy (0 for the lowest one) ... 0.000 eV per atom
Total DFT energy (no corrections) ... -6.3753 eV per atom
D(E_F) ... 3.6 states/eV/f.u.

a b c (Å): 4.850 4.850 4.850
angles (deg): 90.00 90.00 90.00
Space group Pm-3m (No. 221)
Asymmetric unit:
Nb1 0.000 0.000 0.500 x3
As1 0.000 0.000 0.000 x1
Br1 0.500 0.500 0.500 x1